(1)
The following is a PBE calculation of an optimized crystal structure of Th6HgGe2C3, from Alexandria.

Output
Energy of formation in eV per atom: -0.400
Uncorrected energy in eV for the cell shown: -86.53
SG: C2/m (12)
Fermi-level density of states in states/eV/cell: 6.688
Theoretical density in g/cm³: 10.38

CIF file:
```
data_Th6HgGe2C3
_cell_length_a 3.7798
_cell_length_b 8.7483
_cell_length_c 9.5381
_cell_angle_alpha 112.84
_cell_angle_beta 101.43
_cell_angle_gamma 90.00
_space_group_name_H-M_alt 'P 1'
_space_group_IT_number 1
_space_group_name_Hall 'P 1'
loop_
_atom_site_label
_atom_site_fract_x
_atom_site_fract_y
_atom_site_fract_z
_atom_site_occupancy
C1 0.5000 0.5000 0.0000 1
Th1 0.3195 0.9514 0.6389 1
Th2 0.0170 0.7115 0.0339 1
Th3 0.3400 0.3946 0.6799 1
Th4 0.6600 0.6054 0.3201 1
C2 0.1694 0.8265 0.3387 1
Hg1 0.5000 0.0000 0.0000 1
Th5 0.9830 0.2885 0.9661 1
Th6 0.6805 0.0486 0.3611 1
C3 0.8306 0.1735 0.6613 1
Ge1 0.1560 0.3102 0.3120 1
Ge2 0.8440 0.6898 0.6880 1
```


(2)
The following is a PBE calculation of an optimized crystal structure of Tm4HgGeC, from Alexandria.

Output
Energy of formation in eV per atom: -0.521
Uncorrected energy in eV for the cell shown: -71.35
SG: Cmcm (63)
Fermi-level density of states in states/eV/cell: 3.541
Theoretical density in g/cm³: 9.71

CIF file:
```
data_Tm4HgGeC
_cell_length_a 6.7476
_cell_length_b 6.7189
_cell_length_c 7.9951
_cell_angle_alpha 90.00
_cell_angle_beta 114.96
_cell_angle_gamma 90.00
_space_group_name_H-M_alt 'P 1'
_space_group_IT_number 1
_space_group_name_Hall 'P 1'
loop_
_atom_site_label
_atom_site_fract_x
_atom_site_fract_y
_atom_site_fract_z
_atom_site_occupancy
Tm1 0.4196 0.7500 0.8392 1
Hg1 0.1152 0.2500 0.2304 1
Tm2 0.9168 0.2500 0.8337 1
Tm3 0.5000 0.0000 0.5000 1
Tm4 0.0000 0.5000 0.5000 1
C1 0.7485 0.2500 0.4970 1
Ge1 0.3772 0.2500 0.7544 1
Tm5 0.0832 0.7500 0.1663 1
C2 0.2515 0.7500 0.5030 1
Ge2 0.6228 0.7500 0.2456 1
Tm6 0.5804 0.2500 0.1608 1
Tm7 0.5000 0.5000 0.5000 1
Tm8 0.0000 0.0000 0.5000 1
Hg2 0.8848 0.7500 0.7696 1
```


(3)
The following is a PBE calculation of an optimized crystal structure of Y4HgGeC, from Alexandria.

Output
Energy of formation in eV per atom: -0.519
Uncorrected energy in eV for the cell shown: -87.26
SG: Cmcm (63)
Fermi-level density of states in states/eV/cell: 3.412
Theoretical density in g/cm³: 6.13

CIF file:
```
data_Y4HgGeC
_cell_length_a 6.8868
_cell_length_b 6.8706
_cell_length_c 8.1064
_cell_angle_alpha 90.00
_cell_angle_beta 115.14
_cell_angle_gamma 90.00
_space_group_name_H-M_alt 'P 1'
_space_group_IT_number 1
_space_group_name_Hall 'P 1'
loop_
_atom_site_label
_atom_site_fract_x
_atom_site_fract_y
_atom_site_fract_z
_atom_site_occupancy
C1 0.2518 0.7500 0.5037 1
Y1 0.0000 0.5000 0.5000 1
Hg1 0.8838 0.7500 0.7677 1
Y2 0.5000 0.5000 0.5000 1
C2 0.7482 0.2500 0.4963 1
Ge1 0.6241 0.7500 0.2481 1
Y3 0.0822 0.7500 0.1645 1
Y4 0.5791 0.2500 0.1581 1
Y5 0.0000 0.0000 0.5000 1
Ge2 0.3759 0.2500 0.7519 1
Y6 0.5000 0.0000 0.5000 1
Hg2 0.1162 0.2500 0.2323 1
Y7 0.9178 0.2500 0.8355 1
Y8 0.4209 0.7500 0.8419 1
```